VASP calculation (PBE) on a geometry-optimized Sm3Al5Pt6 structure.

* energy relative to the elements: -14.66 eV/f.u.

abc: 4.2590 12.8839 9.7696
angles: 90.00 90.00 90.00
Space group Pmmn (No. 59, origin choice 2)
Asymmetric unit:
Sm  0.2500  0.0809  0.2476 x4
Sm  0.2500  0.7500  0.2546 x2
Al  0.2500  0.0811  0.6428 x4
Al  0.2500  0.6348  0.9813 x4
Al  0.2500  0.7500  0.6337 x2
Pt  0.2500  0.0485  0.8970 x4
Pt  0.2500  0.2500  0.0043 x2
Pt  0.2500  0.2500  0.5071 x2
Pt  0.2500  0.5830  0.4947 x4



VASP calculation (PBE) on a geometry-optimized K2BaHg8 structure.

* energy relative to the elements: -2.84 eV/f.u.

abc: 22.4563 6.7503 4.8863
angles: 90.00 102.36 90.00
Space group C2/m (No. 12)
Asymmetric unit:
K  0.2217  0.0000  0.2212 x4
Ba  0.0000  0.5000  0.0000 x2
Hg  0.0672  0.0000  0.0712 x4
Hg  0.1070  0.2514  0.6097 x8
Hg  0.1647  0.5000  0.1666 x4



VASP calculation (PBE) on a geometry-optimized Pr3Cd2Hg8 structure.

* energy relative to the elements: -1.72 eV/f.u.

abc: 6.0996 6.0996 33.7164
angles: 90.00 90.00 120.00
Space group R-3m (No. 166, hexagonal axes)
Asymmetric unit:
Pr  0.0000  0.0000  0.0000 x3
Pr  0.0000  0.0000  0.1907 x6
Cd  0.0000  0.0000  0.3671 x6
Hg  0.0000  0.0000  0.2844 x6
Hg  0.0013  0.5007  0.7726 x18